Entry 1:
Entry from the Alexandria database: a geometry-optimized KNa2CaSb structure (PBE-GGA).

a = 5.449 Å, b = 5.449 Å, c = 6.271 Å
α = 90.00°, β = 90.00°, γ = 90.00°
Sites, in units of the cell vectors:
K (0.000, 0.000, 0.000)
Na (0.000, 0.500, 0.000)
Na (0.500, 0.000, 0.000)
Ca (0.500, 0.500, 0.500)
Sb (0.000, 0.000, 0.500)

## Properties
formation energy (no corrections) = 0.22 eV/atom
symmetry = P4/mmm, No. 123

***

Entry 2:
Entry from the Alexandria database: a geometry-optimized K2NaCaSe structure (PBE-GGA).

a = 6.505 Å, b = 6.505 Å, c = 5.616 Å
α = 90.00°, β = 90.00°, γ = 90.00°
Sites, in units of the cell vectors:
K (0.000, 0.500, 0.000)
K (0.500, 0.000, 0.000)
Na (0.000, 0.000, 0.500)
Ca (0.500, 0.500, 0.500)
Se (0.500, 0.500, 0.000)

## Properties
formation energy (no corrections) = -0.59 eV/atom
symmetry = P4/mmm, No. 123

***

Entry 3:
Entry from the Alexandria database: a geometry-optimized KNaCaSn structure (PBE-GGA).

a = 5.615 Å, b = 5.615 Å, c = 5.615 Å
α = 60.00°, β = 60.00°, γ = 60.00°
Sites, in units of the cell vectors:
K (0.000, 0.000, 0.000)
Na (0.250, 0.250, 0.250)
Ca (0.750, 0.750, 0.750)
Sn (0.500, 0.500, 0.500)

## Properties
formation energy from the elements = -0.2612 eV/atom
symmetry = F-43m, No. 216

***

Entry 4:
Entry from the Alexandria database: a geometry-optimized KNa2CaTa structure (PBE-GGA).

a = 5.353 Å, b = 5.353 Å, c = 6.343 Å
α = 90.00°, β = 90.00°, γ = 90.00°
Sites, in units of the cell vectors:
K (0.000, 0.000, 0.000)
Na (0.000, 0.500, 0.000)
Na (0.500, 0.000, 0.000)
Ca (0.000, 0.000, 0.500)
Ta (0.500, 0.500, 0.500)

## Properties
formation energy from the elements = 1.5898 eV/atom
symmetry = P4/mmm, No. 123

***

Entry 5:
Entry from the Alexandria database: a geometry-optimized KNa2CaTc structure (PBE-GGA).

a = 5.401 Å, b = 5.401 Å, c = 6.470 Å
α = 90.00°, β = 90.00°, γ = 90.00°
Sites, in units of the cell vectors:
K (0.000, 0.000, 0.000)
Na (0.000, 0.500, 0.000)
Na (0.500, 0.000, 0.000)
Ca (0.000, 0.000, 0.500)
Tc (0.500, 0.500, 0.500)

## Properties
formation energy from the elements = 1.4971 eV/atom
symmetry = P4/mmm, No. 123

***

Entry 6:
Entry from the Alexandria database: a geometry-optimized KNa2CaTl structure (PBE-GGA).

a = 6.141 Å, b = 6.141 Å, c = 6.099 Å
α = 90.00°, β = 90.00°, γ = 90.00°
Sites, in units of the cell vectors:
K (0.000, 0.000, 0.000)
Na (0.000, 0.500, 0.500)
Na (0.500, 0.000, 0.500)
Ca (0.500, 0.500, 0.000)
Tl (0.500, 0.500, 0.500)

## Properties
formation energy from the elements = 0.0281 eV/atom
symmetry = P4/mmm, No. 123

***

Entry 7:
Entry from the Alexandria database: a geometry-optimized K2NaCaW structure (PBE-GGA).

a = 7.069 Å, b = 7.069 Å, c = 5.778 Å
α = 90.00°, β = 90.00°, γ = 90.00°
Sites, in units of the cell vectors:
K (0.000, 0.500, 0.000)
K (0.500, 0.000, 0.000)
Na (0.000, 0.000, 0.500)
Ca (0.500, 0.500, 0.000)
W (0.500, 0.500, 0.500)

## Properties
formation energy from the elements = 1.4878 eV/atom
symmetry = P4/mmm, No. 123

***

Entry 8:
Entry from the Alexandria database: a geometry-optimized KCa3Nb structure (PBE-GGA).

a = 5.516 Å, b = 5.516 Å, c = 5.516 Å
α = 90.00°, β = 90.00°, γ = 90.00°
Sites, in units of the cell vectors:
K (0.000, 0.000, 0.000)
Ca (0.000, 0.000, 0.500)
Ca (0.000, 0.500, 0.000)
Ca (0.500, 0.000, 0.000)
Nb (0.500, 0.500, 0.500)

## Properties
formation energy from the elements = 1.6152 eV/atom
symmetry = Pm-3m, No. 221
excess energy over the best structure of this formula in the dataset = 886 meV per atom

***

Number 1: M_tot 0.00 μB/f.u.. Number 2: M_tot 0.00 μB/f.u.. Number 3: M_tot 0.00 μB/f.u.. Number 4: M_tot 3.97 μB/f.u.. Number 5: M_tot 3.14 μB/f.u.. Number 6: M_tot 0.00 μB/f.u.. Number 7: M_tot 4.75 μB/f.u.. Number 8: M_tot 0.00 μB/f.u..